Record 1
# NpMn2AlO6 (PBE with a Hubbard U, relaxed)
data_NpMn2AlO6
_symmetry_space_group_name_H-M 'P 1'
_symmetry_Int_Tables_number 1
_cell_length_a 5.298
_cell_length_b 5.314
_cell_length_c 5.622
_cell_angle_alpha 62.22
_cell_angle_beta 62.80
_cell_angle_gamma 60.64
loop_
_symmetry_equiv_pos_as_xyz
'x,y,z'
loop_
_atom_site_label
_atom_site_type_symbol
_atom_site_fract_x
_atom_site_fract_y
_atom_site_fract_z
Np1 Np 0.000 0.000 0.000
Mn1 Mn 0.290 0.295 0.113
Mn2 Mn 0.788 0.786 0.636
Al1 Al 0.503 0.501 0.494
O1 O 0.140 0.388 0.772
O2 O 0.244 0.864 0.292
O3 O 0.392 0.697 0.778
O4 O 0.600 0.241 0.289
O5 O 0.717 0.138 0.756
O6 O 0.855 0.615 0.289
# VASP energy ... -8.33 eV/atom

---

Record 2
# NpMnAlO6 (PBE with a Hubbard U, relaxed)
data_NpMnAlO6
_symmetry_space_group_name_H-M 'P -3 1 c'
_symmetry_Int_Tables_number 163
_symmetry_space_group_name_Hall '-P 3 2c'
_cell_length_a 5.1974
_cell_length_b 5.1974
_cell_length_c 9.2691
_cell_angle_alpha 90.00
_cell_angle_beta 90.00
_cell_angle_gamma 120.00
loop_
_atom_site_label
_atom_site_type_symbol
_atom_site_fract_x
_atom_site_fract_y
_atom_site_fract_z
Np1 Np 0.3333 0.6667 0.2500
Mn1 Mn 0.0000 0.0000 0.0000
Al1 Al 0.3333 0.6667 0.7500
O1 O 0.0155 0.3607 0.6374
# VASP energy ... -8.40 eV/atom